1.
The following is a PBE calculation of SiHSe after structural relaxation, from Alexandria.

Lattice parameters (Å, degrees): 4.3002 4.3002 5.7280 118.42 118.42 48.15
With the nearest neighbours (Å) after each atom.
Fractional coordinates of all 3 atoms:
Si  0.0000  0.0000  0.0000  1 H 1.51
H  0.8784  0.8784  0.6920  1 Si 1.51
Se  0.3727  0.3727  0.1475  3 Si 2.38-2.59

Output
- volume (Å³/cell) = 67
- raw total energy (eV per atom) = -4.04

---

2.
The following is a PBE calculation of SiHSe2 after structural relaxation, from Alexandria.

Lattice parameters (Å, degrees): 5.7723 5.7723 5.4537 109.61 109.61 34.39
With the nearest neighbours (Å) after each atom.
Fractional coordinates of all 4 atoms:
Si  0.0000  0.0000  0.0000  1 H 1.49
H  0.9511  0.9511  0.7084  1 Si 1.49
Se  0.3875  0.3875  0.1515  2 Si 2.42
Se  0.6643  0.6643  0.1585  2 Si 2.42

Output
- volume (Å³/cell) = 96
- polymorph energy (0 for the lowest one) (eV/atom) = 0.000

---

3.
The following is a PBE calculation of SiHSe3 after structural relaxation, from Alexandria.

Lattice parameters (Å, degrees): 4.3698 4.3698 4.3698 90.00 90.00 90.00
With the nearest neighbours (Å) after each atom.
Fractional coordinates of all 5 atoms:
Si  0.0000  0.0000  0.0000  12 Se 3.09
H  0.5000  0.5000  0.5000  6 Se 2.18
Se  0.0000  0.5000  0.5000  2 H 2.18
Se  0.5000  0.0000  0.5000  2 H 2.18
Se  0.5000  0.5000  0.0000  2 H 2.18

Output
- volume (Å³/cell) = 83
- polymorph energy (0 for the lowest one) (eV/atom) = 1.049

---

4.
The following is a PBE calculation of Y8Si3HSe4 after structural relaxation, from Alexandria.

Lattice parameters (Å, degrees): 8.1916 8.1916 8.1916 59.36 59.36 59.36
With the nearest neighbours (Å) after each atom.
Fractional coordinates of all 16 atoms:
Y  0.2401  0.7490  0.7490  2 Si 2.82, 1 H 2.87, 3 Se 2.90-2.95
Y  0.2456  0.2456  0.2456  3 Si 2.83, 3 Se 2.94
Y  0.2510  0.2510  0.7599  2 Si 2.82, 1 H 2.87, 3 Se 2.90-2.95
Y  0.2510  0.7599  0.2510  2 Si 2.82, 1 H 2.87, 3 Se 2.90-2.95
Y  0.7490  0.2401  0.7490  2 Si 2.82, 1 H 2.87, 3 Se 2.90-2.95
Y  0.7490  0.7490  0.2401  2 Si 2.82, 1 H 2.87, 3 Se 2.90-2.95
Y  0.7544  0.7544  0.7544  3 Si 2.83, 3 Se 2.94
Y  0.7599  0.2510  0.2510  2 Si 2.82, 1 H 2.87, 3 Se 2.90-2.95
Si  0.0000  0.0000  0.5000  6 Y 2.82-2.83
Si  0.0000  0.5000  0.0000  6 Y 2.82-2.83
Si  0.5000  0.0000  0.0000  6 Y 2.82-2.83
H  0.5000  0.5000  0.5000  6 Y 2.87
Se  0.0000  0.0000  0.0000  6 Y 2.90
Se  0.0000  0.5000  0.5000  6 Y 2.94-2.95
Se  0.5000  0.0000  0.5000  6 Y 2.94-2.95
Se  0.5000  0.5000  0.0000  6 Y 2.94-2.95

Output
- volume (Å³/cell) = 383
- raw total energy (eV per atom) = -6.58

---

Result set for density of states at the Fermi level: 0.196, 1.009, 3.510, 5.134 states/eV per cell, one per record in the order listed.